Entry from Alexandria: crystalline KIn9Au2 at its relaxed geometry (PBE).

total energy: -2.799 eV per atom

The structure in POSCAR format:
```
KIn9Au2
1.0
7.699 0.000 3.545
3.850 8.722 1.772
0.202 0.000 9.695
Au K In
4 2 18
direct
0.375 0.750 0.750
0.875 0.250 0.250
0.875 0.750 0.250
0.875 0.250 0.750
0.500 0.000 0.000
0.250 0.500 0.500
0.425 0.430 0.816
0.325 0.070 0.684
0.759 0.570 0.816
0.605 0.070 0.316
0.000 0.000 0.000
0.145 0.430 0.184
0.759 0.816 0.570
0.325 0.684 0.070
0.605 0.316 0.070
0.750 0.500 0.500
0.671 0.570 0.184
0.991 0.684 0.930
0.079 0.930 0.316
0.145 0.184 0.430
0.991 0.930 0.684
0.425 0.816 0.430
0.671 0.184 0.570
0.079 0.316 0.930
```

=====

Entry from Alexandria: crystalline Li2FeRu at its relaxed geometry (PBE).

total energy: -5.239 eV per atom

The structure in POSCAR format:
```
Li2FeRu
1.0
4.776 0.017 -0.050
4.101 2.448 -0.050
0.627 0.174 4.493
Fe Ru Li
1 1 2
direct
0.250 0.250 0.250
0.750 0.750 0.750
0.999 0.999 0.995
0.501 0.501 0.505
```

=====

Entry from Alexandria: crystalline CeHo5Bi4 at its relaxed geometry (PBE).

total energy: -4.951 eV per atom

The structure in POSCAR format:
```
CeHo5Bi4
1.0
-3.803 1.866 1.250
-2.567 -0.324 -7.325
0.025 -9.532 6.501
Ho Bi Ce
5 4 1
direct
0.811 0.708 0.621
0.189 0.292 0.379
0.500 0.500 0.000
0.804 0.219 0.608
0.196 0.781 0.392
0.936 0.646 0.872
0.637 0.946 0.273
0.363 0.054 0.727
0.064 0.354 0.128
0.500 0.000 0.000
```

=====

Entry from Alexandria: crystalline La2TeBr at its relaxed geometry (PBE).

E_form (uncorrected): -0.57 eV/atom

The structure in POSCAR format:
```
La2TeBr
1.0
5.592 0.000 0.000
2.796 4.842 0.000
2.796 1.614 4.566
Br La Te
1 2 1
direct
0.500 0.500 0.500
0.000 0.000 0.000
0.250 0.250 0.250
0.750 0.750 0.750
```

=====

Entry from Alexandria: crystalline SmCuPdAu at its relaxed geometry (PBE).

total energy: -4.792 eV per atom

The structure in POSCAR format:
```
SmCuPdAu
1.0
-2.933 1.757 3.306
-4.694 -0.656 -0.395
-2.250 -2.939 2.987
Au Cu Pd Sm
1 1 1 1
direct
0.500 0.500 0.500
0.250 0.250 0.250
0.750 0.750 0.750
0.000 0.000 0.000
```

=====

Entry from Alexandria: crystalline ThZrTlZn at its relaxed geometry (PBE).

total energy: -4.915 eV per atom

The structure in POSCAR format:
```
ThZrTlZn
1.0
5.181 0.000 0.000
2.590 4.486 0.000
2.590 1.495 4.230
Tl Zr Zn Th
1 1 1 1
direct
0.500 0.500 0.500
0.250 0.250 0.250
0.000 0.000 0.000
0.750 0.750 0.750
```